This record from Alexandria describes a geometry-optimized MgMn2O4 structure. The functional is PBE+U.

Calculated values
Polymorph energy (0 for the lowest one): 56 meV per atom
Spin magnetization: 1.143 μB per atom

Cell lengths 3.336, 9.057, 10.773 Å; angles 90.00, 95.25, 90.00 degrees
Space group P2_1/c (No. 14)
Asymmetric unit:
Mg 0.161 0.205 0.142 [4 per cell]
Mn 0.174 0.047 0.387 [4 per cell]
Mn 0.379 0.081 0.882 [4 per cell]
O 0.116 0.520 0.716 [4 per cell]
O 0.231 0.092 0.566 [4 per cell]
O 0.367 0.623 0.448 [4 per cell]
O 0.399 0.223 0.321 [4 per cell]